DyPuNiIr | GGA-PBE | relaxed

Cell lengths 6.8123, 6.8123, 6.8123 Å; angles 90.00, 90.00, 90.00 degrees
Space group F-43m (No. 216)
Symmetry-distinct sites (fractional):
Dy (0.0000, 0.0000, 0.0000)
Pu (0.0000, 0.0000, 0.5000)
Ni (0.2500, 0.2500, 0.2500)
Ir (0.2500, 0.2500, 0.7500)

Computed properties:
V, Å³/atom: 19.8
Calculated formation energy, kJ per mole of atoms: -41
Spin magnetization, μB/f.u.: 5.4
Mass density, g/cm³: 13.81